Entry 1:
This record from OQMD describes a relaxed TaCoSn2 crystal. The functional is PBE.

Output
The space group is F-43m. Its final energy is -6.15 eV/atom. The magnetic moment is 1.830 μB per formula unit.

Geometry as CIF:
```
data_TaCoSn2
_symmetry_space_group_name_H-M 'P 1'
_symmetry_Int_Tables_number 1
_cell_length_a 4.760
_cell_length_b 4.760
_cell_length_c 4.760
_cell_angle_alpha 60.00
_cell_angle_beta 60.00
_cell_angle_gamma 60.00
loop_
_symmetry_equiv_pos_as_xyz
'x,y,z'
loop_
_atom_site_label
_atom_site_type_symbol
_atom_site_fract_x
_atom_site_fract_y
_atom_site_fract_z
Co1 Co 0.250 0.250 0.250
Sn1 Sn 0.750 0.750 0.750
Sn2 Sn 0.000 0.000 0.000
Ta1 Ta 0.500 0.500 0.500
```

---

Entry 2:
This record from OQMD describes a relaxed Tl2CoHgCl6 crystal. The functional is PBE.

Output
The space group is Fm-3m. Its final energy is -3.00 eV/atom. The magnetic moment is 0.008 μB per formula unit.

Geometry as CIF:
```
data_Tl2CoHgCl6
_symmetry_space_group_name_H-M 'P 1'
_symmetry_Int_Tables_number 1
_cell_length_a 7.081
_cell_length_b 7.081
_cell_length_c 7.081
_cell_angle_alpha 60.00
_cell_angle_beta 60.00
_cell_angle_gamma 60.00
loop_
_symmetry_equiv_pos_as_xyz
'x,y,z'
loop_
_atom_site_label
_atom_site_type_symbol
_atom_site_fract_x
_atom_site_fract_y
_atom_site_fract_z
Cl1 Cl 0.771 0.771 0.229
Cl2 Cl 0.771 0.229 0.771
Cl3 Cl 0.229 0.771 0.771
Cl4 Cl 0.229 0.771 0.229
Cl5 Cl 0.229 0.229 0.771
Cl6 Cl 0.771 0.229 0.229
Tl1 Tl 0.250 0.250 0.250
Tl2 Tl 0.750 0.750 0.750
Co1 Co 0.000 0.000 0.000
Hg1 Hg 0.500 0.500 0.500
```

---

Entry 3:
This record from OQMD describes a relaxed SrAgPd crystal. The functional is PBE.

Output
The space group is F-43m. Its final energy is -3.52 eV/atom.

Geometry as CIF:
```
data_SrAgPd
_symmetry_space_group_name_H-M 'P 1'
_symmetry_Int_Tables_number 1
_cell_length_a 4.838
_cell_length_b 4.838
_cell_length_c 4.838
_cell_angle_alpha 60.00
_cell_angle_beta 60.00
_cell_angle_gamma 60.00
loop_
_symmetry_equiv_pos_as_xyz
'x,y,z'
loop_
_atom_site_label
_atom_site_type_symbol
_atom_site_fract_x
_atom_site_fract_y
_atom_site_fract_z
Pd1 Pd 0.000 0.000 0.000
Ag1 Ag 0.250 0.250 0.250
Sr1 Sr 0.750 0.750 0.750
```

---

Entry 4:
This record from OQMD describes a relaxed Re6Ni7 crystal. The functional is PBE.

Output
The space group is R-3m. The calculation puts the formation energy at 28 meV per atom. Its final energy is -8.70 eV/atom. The magnetic moment is 0.641 μB per formula unit.

Geometry as CIF:
```
data_Re6Ni7
_symmetry_space_group_name_H-M 'P 1'
_symmetry_Int_Tables_number 1
_cell_length_a 8.915
_cell_length_b 8.915
_cell_length_c 8.915
_cell_angle_alpha 30.39
_cell_angle_beta 30.39
_cell_angle_gamma 30.39
loop_
_symmetry_equiv_pos_as_xyz
'x,y,z'
loop_
_atom_site_label
_atom_site_type_symbol
_atom_site_fract_x
_atom_site_fract_y
_atom_site_fract_z
Ni1 Ni 0.908 0.414 0.908
Ni2 Ni 0.586 0.092 0.092
Ni3 Ni 0.908 0.908 0.414
Ni4 Ni 0.000 0.000 0.000
Ni5 Ni 0.092 0.092 0.586
Ni6 Ni 0.414 0.908 0.908
Ni7 Ni 0.092 0.586 0.092
Re1 Re 0.833 0.833 0.833
Re2 Re 0.548 0.548 0.548
Re3 Re 0.167 0.167 0.167
Re4 Re 0.350 0.350 0.350
Re5 Re 0.452 0.452 0.452
Re6 Re 0.650 0.650 0.650
```

---

Entry 5:
This record from OQMD describes a relaxed RbLuMgSe3 crystal. The functional is PBE.

Output
The space group is P2_1/m. Its final energy is -4.45 eV/atom. The magnetic moment is 0.001 μB per formula unit.

Geometry as CIF:
```
data_RbLuMgSe3
_symmetry_space_group_name_H-M 'P 1'
_symmetry_Int_Tables_number 1
_cell_length_a 9.202
_cell_length_b 4.202
_cell_length_c 10.178
_cell_angle_alpha 90.00
_cell_angle_beta 109.84
_cell_angle_gamma 90.00
loop_
_symmetry_equiv_pos_as_xyz
'x,y,z'
loop_
_atom_site_label
_atom_site_type_symbol
_atom_site_fract_x
_atom_site_fract_y
_atom_site_fract_z
Mg1 Mg 0.086 0.250 0.113
Mg2 Mg 0.914 0.750 0.887
Rb1 Rb 0.780 0.750 0.258
Rb2 Rb 0.220 0.250 0.742
Se1 Se 0.120 0.250 0.369
Se2 Se 0.880 0.750 0.631
Se3 Se 0.208 0.750 0.048
Se4 Se 0.474 0.750 0.655
Se5 Se 0.526 0.250 0.345
Se6 Se 0.792 0.250 0.952
Lu1 Lu 0.668 0.250 0.629
Lu2 Lu 0.332 0.750 0.371
```

---

Entry 6:
This record from OQMD describes a relaxed RbNdFeTe3 crystal. The functional is PBE.

Output
The space group is Cmcm. Its final energy is -4.78 eV/atom. The magnetic moment is 3.998 μB per formula unit.

Geometry as CIF:
```
data_RbNdFeTe3
_symmetry_space_group_name_H-M 'P 1'
_symmetry_Int_Tables_number 1
_cell_length_a 8.585
_cell_length_b 8.585
_cell_length_c 11.820
_cell_angle_alpha 90.00
_cell_angle_beta 90.00
_cell_angle_gamma 30.09
loop_
_symmetry_equiv_pos_as_xyz
'x,y,z'
loop_
_atom_site_label
_atom_site_type_symbol
_atom_site_fract_x
_atom_site_fract_y
_atom_site_fract_z
Fe1 Fe 0.531 0.531 0.750
Fe2 Fe 0.469 0.469 0.250
Rb1 Rb 0.253 0.253 0.750
Rb2 Rb 0.747 0.747 0.250
Te1 Te 0.065 0.065 0.250
Te2 Te 0.626 0.626 0.571
Te3 Te 0.374 0.374 0.429
Te4 Te 0.935 0.935 0.750
Te5 Te 0.374 0.374 0.071
Te6 Te 0.626 0.626 0.929
Nd1 Nd 0.000 0.000 0.000
Nd2 Nd 0.000 0.000 0.500
```

---

Entry 7:
This record from OQMD describes a relaxed BeCuGeIr crystal. The functional is PBE.

Output
The space group is F-43m. Its final energy is -5.07 eV/atom. The magnetic moment is 0.000 μB per formula unit.

Geometry as CIF:
```
data_BeCuGeIr
_symmetry_space_group_name_H-M 'P 1'
_symmetry_Int_Tables_number 1
_cell_length_a 4.171
_cell_length_b 4.171
_cell_length_c 4.171
_cell_angle_alpha 60.00
_cell_angle_beta 60.00
_cell_angle_gamma 60.00
loop_
_symmetry_equiv_pos_as_xyz
'x,y,z'
loop_
_atom_site_label
_atom_site_type_symbol
_atom_site_fract_x
_atom_site_fract_y
_atom_site_fract_z
Be1 Be 0.250 0.250 0.250
Ir1 Ir 0.500 0.500 0.500
Cu1 Cu 0.750 0.750 0.750
Ge1 Ge 0.000 0.000 0.000
```

---

Entry 8:
This record from OQMD describes a relaxed Hf3InAs crystal. The functional is PBE.

Output
The space group is Cmcm. Its final energy is -7.81 eV/atom. The magnetic moment is 0.023 μB per formula unit.

Geometry as CIF:
```
data_Hf3InAs
_symmetry_space_group_name_H-M 'P 1'
_symmetry_Int_Tables_number 1
_cell_length_a 6.247
_cell_length_b 6.247
_cell_length_c 10.068
_cell_angle_alpha 90.00
_cell_angle_beta 90.00
_cell_angle_gamma 146.31
loop_
_symmetry_equiv_pos_as_xyz
'x,y,z'
loop_
_atom_site_label
_atom_site_type_symbol
_atom_site_fract_x
_atom_site_fract_y
_atom_site_fract_z
Hf1 Hf 0.036 0.964 0.750
Hf2 Hf 0.649 0.351 0.058
Hf3 Hf 0.964 0.036 0.250
Hf4 Hf 0.351 0.649 0.558
Hf5 Hf 0.351 0.649 0.942
Hf6 Hf 0.649 0.351 0.442
In1 In 0.735 0.265 0.750
In2 In 0.265 0.735 0.250
As1 As 0.000 0.000 0.500
As2 As 0.000 0.000 0.000
```

---

Question: The lowest final energy belongs to which entry?
Answer: Re6Ni7